# RbNbSb2Se (PBE, relaxed)
data_RbNbSb2Se
_chemical_formula_sum 'Rb1 Nb1 Sb2 Se1'
_cell_length_a 5.6881
_cell_length_b 5.6881
_cell_length_c 5.4258
_cell_angle_alpha 90.00
_cell_angle_beta 90.00
_cell_angle_gamma 90.00
_symmetry_space_group_name_H-M 'P 4/m m m'
_symmetry_Int_Tables_number 123
_symmetry_space_group_name_Hall '-P 4 2'
loop_
_atom_site_label
_atom_site_fract_x
_atom_site_fract_y
_atom_site_fract_z
Rb1 0.0000 0.0000 0.0000
Nb1 0.5000 0.5000 0.5000
Sb1 0.0000 0.5000 0.0000
Se1 0.0000 0.0000 0.5000
# Raw total energy   -2.5400 eV/atom
# Raw formation energy   2.013 eV/atom
# Size of the total moment   0.00 Bohr magnetons per cell
# N(E_F)   13.12 states/eV/f.u.